Record 1
{"formula": "Tl2PtCl7", "functional": "PBE-GGA", "state": "optimized geometry", "cell": [[7.404, -4.180, 0.000], [7.404, 4.180, 0.000], [-5.232, 0.000, 10.122]], "species": ["Tl", "Tl", "Tl", "Tl", "Pt", "Pt", "Cl", "Cl", "Cl", "Cl", "Cl", "Cl", "Cl", "Cl", "Cl", "Cl", "Cl", "Cl", "Cl", "Cl"], "fractional_positions": [[0.175, 0.240, 0.059], [0.240, 0.175, 0.559], [0.760, 0.825, 0.441], [0.825, 0.760, 0.941], [0.308, 0.692, 0.750], [0.692, 0.308, 0.250], [0.032, 0.968, 0.750], [0.110, 0.617, 0.175], [0.184, 0.547, 0.802], [0.210, 0.560, 0.528], [0.383, 0.890, 0.325], [0.440, 0.790, 0.972], [0.453, 0.816, 0.698], [0.547, 0.184, 0.302], [0.560, 0.210, 0.028], [0.617, 0.110, 0.675], [0.790, 0.440, 0.472], [0.816, 0.453, 0.198], [0.890, 0.383, 0.825], [0.968, 0.032, 0.250]], "sg": "C2/c, No. 15", "formation_energy_uncorrected_ev_per_atom": -0.495}

Record 2
{"formula": "TlPt2Cl", "functional": "PBE-GGA", "state": "optimized geometry", "cell": [[2.950, -4.234, 0.000], [2.950, 4.234, 0.000], [0.000, 0.000, 3.006]], "species": ["Tl", "Pt", "Pt", "Cl"], "fractional_positions": [[0.000, 0.000, 0.000], [0.000, 0.500, 0.500], [0.500, 0.000, 0.500], [0.500, 0.500, 0.000]], "polymorph_energy_mev_per_atom": 409, "sg": "Cmmm, No. 65", "formation_energy_uncorrected_ev_per_atom": 0.463}

Record 3
{"formula": "TlPtCl2", "functional": "PBE-GGA", "state": "optimized geometry", "cell": [[3.459, 0.000, 0.000], [0.000, 4.324, 0.000], [0.000, 0.000, 6.064]], "species": ["Tl", "Pt", "Cl", "Cl"], "fractional_positions": [[0.000, 0.000, 0.000], [0.500, 0.000, 0.500], [0.000, 0.500, 0.500], [0.500, 0.500, 0.000]], "polymorph_energy_mev_per_atom": 419, "sg": "Pmmm, No. 47", "formation_energy_uncorrected_ev_per_atom": 0.101}